Entry 1:
{"formula": "Sm2ZnSe", "functional": "PBE", "state": "relaxed", "raw_formation_energy_kj_per_mol_atoms": -98.8, "total_energy_ev_per_atom": -4.5731, "magmom_total_mub_per_fu": 0.0, "crystal_system": "trigonal", "lattice": [[-1.791, 0.023, 3.663], [1.814, -1.816, 3.168], [3.437, 5.682, 3.914]], "species": ["Sm", "Se", "Sm", "Zn"], "fractional_positions": [[0.754, 0.754, 0.739], [0.500, 0.500, 0.500], [0.246, 0.246, 0.261], [0.000, 0.000, 0.000]]}

***

Entry 2:
{"formula": "Sm6ZnSe5", "functional": "PBE", "state": "relaxed", "raw_formation_energy_kj_per_mol_atoms": -152.9, "total_energy_ev_per_atom": -5.5019, "magmom_total_mub_per_fu": 0.0, "crystal_system": "monoclinic", "lattice": [[-5.434, -3.862, 2.872], [5.542, -3.399, -3.229], [3.285, 2.168, 6.075]], "species": ["Sm", "Se", "Se", "Sm", "Se", "Se", "Se", "Sm", "Sm", "Sm", "Sm", "Zn"], "fractional_positions": [[0.918, 0.589, 0.753], [0.500, 0.500, 0.500], [0.666, 0.334, 0.000], [0.411, 0.082, 0.247], [0.334, 0.666, 0.000], [0.831, 0.169, 0.500], [0.169, 0.831, 0.500], [0.246, 0.246, 0.753], [0.754, 0.754, 0.247], [0.589, 0.918, 0.753], [0.082, 0.411, 0.247], [0.000, 0.000, 0.000]]}

***

Entry 3:
{"formula": "Sm2ZnSe", "functional": "PBE", "state": "relaxed", "raw_formation_energy_kj_per_mol_atoms": -89.4, "total_energy_ev_per_atom": -4.4760, "magmom_total_mub_per_fu": 0.0, "crystal_system": "trigonal", "lattice": [[-0.854, -3.142, -2.279], [1.981, -3.410, 0.494], [-4.956, -4.525, 4.628]], "species": ["Sm", "Se", "Sm", "Zn"], "fractional_positions": [[0.084, 0.084, 0.748], [0.499, 0.499, 0.503], [0.250, 0.250, 0.251], [0.667, 0.667, 0.998]]}